No. 1
A PBEsol-optimized structure of Ba2LaSe. Source: Alexandria via LeMat-Bulk, functional meta-GGA SCAN.

Magnetic moment, μB per atom: 0.000
Energy relative to the elements, uncorrected, eV per atom: -0.7960
SG: Pm

```
data_Ba2LaSe
_space_group_name_H-M_alt 'P 1'
_space_group_IT_number 1
_space_group_name_Hall 'P 1'
_cell_length_a 4.450
_cell_length_b 5.132
_cell_length_c 6.822
_cell_angle_alpha 90.00
_cell_angle_beta 108.94
_cell_angle_gamma 90.00
loop_
_atom_site_label
_atom_site_type_symbol
_atom_site_fract_x
_atom_site_fract_y
_atom_site_fract_z
Se1 Se 0.312 0.500 0.750
La1 La 0.196 0.000 0.516
Ba1 Ba 0.896 0.000 0.917
Ba2 Ba 0.596 0.500 0.317
```

***

No. 2
A PBEsol-optimized structure of BaLaSi2. Source: Alexandria via LeMat-Bulk, functional meta-GGA SCAN.

Offset from the most stable computed form, meV/atom: 364.1
Magnetic moment, μB per atom: 0.000
Energy relative to the elements, uncorrected, eV per atom: -0.2691
SG: P4/mmm

```
data_BaLaSi2
_space_group_name_H-M_alt 'P 1'
_space_group_IT_number 1
_space_group_name_Hall 'P 1'
_cell_length_a 3.499
_cell_length_b 3.499
_cell_length_c 8.676
_cell_angle_alpha 90.00
_cell_angle_beta 90.00
_cell_angle_gamma 90.00
loop_
_atom_site_label
_atom_site_type_symbol
_atom_site_fract_x
_atom_site_fract_y
_atom_site_fract_z
Si1 Si 0.000 0.000 0.732
Si2 Si 0.000 0.000 0.268
Ba1 Ba 0.500 0.500 0.000
La1 La 0.500 0.500 0.500
```